The following is a PBEsol calculation of a relaxed Be2RuPt crystal, from the Alexandria database.

abc: 2.779 3.699 4.427
angles: 90.00 108.15 90.00
Space group Pm (No. 6)
Unique sites:
Be (0.000, 0.000, 0.000) x1
Be (0.159, 0.500, 0.322) x1
Ru (0.441, 0.500, 0.880) x1
Pt (0.723, 0.000, 0.452) x1

Values from the calculation:
Magnetic moment in μB/atom: 0.000
Energy relative to the lowest polymorph listed for this composition in meV per atom: 101.5
ΔE_f in eV per atom: -0.406

***

The following is a PBEsol calculation of a relaxed TcAgN2F crystal, from the Alexandria database.

abc: 4.003 4.003 3.962
angles: 90.00 90.00 90.00
Space group P4/mmm (No. 123)
Unique sites:
Tc (0.000, 0.000, 0.000) x1
Ag (0.500, 0.500, 0.500) x1
N (0.000, 0.500, 0.500) x2
F (0.500, 0.500, 0.000) x1

Values from the calculation:
Magnetic moment in μB/atom: 0.640
ΔE_f (raw) in eV per atom: 1.6117